No. 1
Density functional theory data (PBE-GGA) for a relaxed structure of Sc2CoBI.

a = 4.782 Å, b = 4.683 Å, c = 4.782 Å
α = 90.00°, β = 90.00°, γ = 90.00°
Sites, in units of the cell vectors:
Sc: 0.000 0.000 0.500
Sc: 0.500 0.000 0.000
Co: 0.000 0.000 0.000
I: 0.000 0.500 0.000
B: 0.500 0.500 0.500

Output
* volume: 107 Å³/cell
* ΔE_f (raw): 0.853 eV per atom
* symmetry: P4/mmm (123)


No. 2
Density functional theory data (PBE-GGA) for a relaxed structure of Si2TeSe.

a = 5.841 Å, b = 5.841 Å, c = 5.489 Å
α = 94.94°, β = 94.94°, γ = 37.02°
Sites, in units of the cell vectors:
Si: 0.980 0.980 0.912
Si: 0.760 0.760 0.860
Se: 0.230 0.230 0.128
Te: 0.530 0.530 0.600

Output
* volume: 112 Å³/cell
* ΔE_f (raw): 0.073 eV per atom
* symmetry: Cm (8)
* excess energy over the best structure of this formula in the dataset: 138 meV/atom


No. 3
Density functional theory data (PBE-GGA) for a relaxed structure of Tb2Er2Se3S2.

a = 5.535 Å, b = 5.535 Å, c = 8.055 Å
α = 110.10°, β = 110.10°, γ = 90.00°
Sites, in units of the cell vectors:
S: 0.401 0.401 0.803
S: 0.599 0.599 0.197
Se: 0.750 0.250 0.500
Se: 0.000 0.000 0.000
Se: 0.250 0.750 0.500
Er: 0.500 0.000 0.000
Er: 0.000 0.500 0.000
Tb: 0.212 0.212 0.424
Tb: 0.788 0.788 0.576

Output
* volume: 216 Å³/cell
* ΔE_f (raw): -1.544 eV per atom
* symmetry: I4/mmm (139)


No. 4
Density functional theory data (PBE-GGA) for a relaxed structure of TeIrBr2.

a = 3.227 Å, b = 5.674 Å, c = 4.774 Å
α = 90.00°, β = 90.00°, γ = 90.00°
Sites, in units of the cell vectors:
Ir: 0.500 0.000 0.500
Br: 0.500 0.500 0.000
Br: 0.000 0.000 0.000
Te: 0.000 0.500 0.500

Output
* volume: 87 Å³/cell
* ΔE_f (raw): 0.825 eV per atom
* symmetry: Pmmm (47)


No. 5
Density functional theory data (PBE-GGA) for a relaxed structure of CrCo2Ir2.

a = 6.948 Å, b = 6.948 Å, c = 2.672 Å
α = 90.00°, β = 90.00°, γ = 90.00°
Sites, in units of the cell vectors:
Cr: 0.500 0.500 0.000
Cr: 0.000 0.000 0.000
Co: 0.620 0.120 0.000
Co: 0.380 0.880 0.000
Co: 0.880 0.620 0.000
Co: 0.120 0.380 0.000
Ir: 0.323 0.177 0.500
Ir: 0.177 0.677 0.500
Ir: 0.823 0.323 0.500
Ir: 0.677 0.823 0.500

Output
* energy relative to the elements: 0.232 eV/atom
* volume: 129 Å³/cell
* symmetry: P4/mbm (127)
* excess energy over the best structure of this formula in the dataset: 0 meV/atom


No. 6
Density functional theory data (PBE-GGA) for a relaxed structure of CrSi2Ag.

a = 8.383 Å, b = 8.383 Å, c = 8.383 Å
α = 19.95°, β = 19.95°, γ = 19.95°
Sites, in units of the cell vectors:
Ag: 0.503 0.503 0.503
Cr: 0.741 0.741 0.741
Si: 0.257 0.257 0.257
Si: 0.000 0.000 0.000

Output
* volume: 60 Å³/cell
* ΔE_f (raw): 0.366 eV per atom
* symmetry: R3m (160)
* excess energy over the best structure of this formula in the dataset: 218 meV/atom


No. 7
Density functional theory data (PBE-GGA) for a relaxed structure of ScPa2V.

a = 3.018 Å, b = 3.018 Å, c = 11.155 Å
α = 82.22°, β = 82.22°, γ = 60.00°
Sites, in units of the cell vectors:
Pa: 0.910 0.910 0.270
Pa: 0.090 0.090 0.730
Sc: 0.000 0.000 0.000
V: 0.500 0.500 0.500

Output
* energy relative to the elements: 0.359 eV/atom
* volume: 87 Å³/cell
* symmetry: R-3m (166)


No. 8
Density functional theory data (PBE-GGA) for a relaxed structure of SbTe3.

a = 5.525 Å, b = 5.525 Å, c = 5.525 Å
α = 109.71°, β = 109.71°, γ = 109.71°
Sites, in units of the cell vectors:
Te: 0.000 0.500 0.500
Te: 0.500 0.500 0.000
Te: 0.500 0.000 0.500
Sb: 0.000 0.000 0.000

Output
* volume: 129 Å³/cell
* ΔE_f (raw): 0.024 eV per atom
* symmetry: R-3m (166)
* excess energy over the best structure of this formula in the dataset: 15 meV/atom


No. 9
Density functional theory data (PBE-GGA) for a relaxed structure of Zr5Al.

a = 4.401 Å, b = 4.433 Å, c = 7.080 Å
α = 108.24°, β = 90.00°, γ = 90.00°
Sites, in units of the cell vectors:
Zr: 0.500 0.500 0.000
Zr: 0.500 0.837 0.675
Zr: 0.500 0.163 0.325
Zr: 0.000 0.662 0.324
Zr: 0.000 0.338 0.676
Al: 0.000 0.000 0.000

Output
* energy relative to the elements: -0.172 eV/atom
* volume: 131 Å³/cell
* symmetry: Cmmm (65)


No. 10
Density functional theory data (PBE-GGA) for a relaxed structure of PmAsH2.

a = 3.479 Å, b = 4.098 Å, c = 4.098 Å
α = 90.00°, β = 90.00°, γ = 90.00°
Sites, in units of the cell vectors:
H: 0.000 0.500 0.000
H: 0.000 0.000 0.500
Pm: 0.500 0.500 0.500
As: 0.500 0.000 0.000

Output
* volume: 58 Å³/cell
* symmetry: P4/mmm (123)
* excess energy over the best structure of this formula in the dataset: 274 meV/atom


No. 11
Density functional theory data (PBE-GGA) for a relaxed structure of Rb3URh2Se6.

a = 6.787 Å, b = 6.787 Å, c = 8.315 Å
α = 97.89°, β = 97.89°, γ = 120.01°
Sites, in units of the cell vectors:
U: 0.000 0.000 0.000
Rb: 0.839 0.161 0.500
Rb: 0.161 0.839 0.500
Rb: 0.500 0.500 0.500
Rh: 0.333 0.667 0.000
Rh: 0.667 0.333 0.000
Se: 0.060 0.420 0.180
Se: 0.700 0.700 0.178
Se: 0.420 0.060 0.180
Se: 0.940 0.580 0.820
Se: 0.580 0.940 0.820
Se: 0.300 0.300 0.822

Output
* volume: 319 Å³/cell
* ΔE_f (raw): -0.831 eV per atom
* symmetry: C2/m (12)


No. 12
Density functional theory data (PBE-GGA) for a relaxed structure of ZnSiAg.

a = 4.604 Å, b = 4.604 Å, c = 4.604 Å
α = 133.74°, β = 133.74°, γ = 67.49°
Sites, in units of the cell vectors:
Zn: 0.664 0.664 0.000
Si: 0.336 0.336 0.000
Ag: 0.000 0.000 0.000

Output
* volume: 50 Å³/cell
* ΔE_f (raw): 0.258 eV per atom
* symmetry: I4mm (107)
* excess energy over the best structure of this formula in the dataset: 79 meV/atom